Entry 1:
Entry from Alexandria: a relaxed B5C7 crystal (PBE).

The structure in POSCAR format:
```
B5C7
1.0
-2.371 1.410 -6.320
1.218 -2.449 -6.811
-1.966 -0.015 7.072
C B
7 5
Cartesian
-1.197 -1.000 -12.896
-1.615 0.297 -1.824
-1.089 -0.943 0.809
-2.622 -0.685 -1.146
0.044 -1.769 -3.748
-2.099 -0.269 -8.572
-2.530 -0.551 0.381
-2.016 -0.178 5.390
-1.511 -1.346 -4.211
-1.142 -0.756 2.424
-1.686 -1.488 -6.059
-1.708 0.163 -3.361
```

Formation enthalpy at 0 K ... 0.38 eV per atom
E ... -93.4 eV/cell
Fermi-level density of states ... 0.09 states/eV per atom
Distance to the lowest polymorph of the same formula ... 124 meV/atom


Entry 2:
Entry from Alexandria: a relaxed MnCd2GeMo crystal (PBE).

The structure in POSCAR format:
```
MnCd2GeMo
1.0
-1.332 -3.702 -3.633
-0.853 -3.544 3.924
-4.040 1.228 0.230
Mn Cd Mo Ge
1 2 1 1
Cartesian
-2.020 0.614 0.115
-0.666 -1.851 -1.817
-0.427 -1.772 1.962
0.000 0.000 0.000
-3.113 -3.009 0.260
```

Formation enthalpy at 0 K ... 1.19 eV per atom
E ... -20.5 eV/cell
Fermi-level density of states ... 0.69 states/eV per atom


Entry 3:
Entry from Alexandria: a relaxed NaAgGe2 crystal (PBE).

The structure in POSCAR format:
```
NaAgGe2
1.0
4.329 0.000 0.000
0.000 4.329 0.000
2.165 2.165 9.539
Na Ge Ag
2 4 2
Cartesian
2.165 4.329 4.770
2.165 2.165 0.000
3.576 1.082 2.385
5.412 5.740 7.154
3.247 2.918 7.154
0.754 3.247 2.385
0.000 0.000 0.000
4.329 2.165 4.770
```

Formation enthalpy at 0 K ... 0.19 eV per atom
E ... -25.3 eV/cell
Fermi-level density of states ... 0.58 states/eV per atom


Entry 4:
Entry from Alexandria: a relaxed Li2Ni5H2 crystal (PBE).

The structure in POSCAR format:
```
Li2Ni5H2
1.0
3.631 0.000 0.000
-1.816 4.058 -0.349
0.000 -0.219 5.577
Ni Li H
5 2 2
Cartesian
0.000 0.000 0.000
1.816 2.730 2.931
0.000 2.128 4.544
1.816 1.711 0.685
0.000 1.109 2.297
1.816 0.385 3.946
0.000 3.455 1.283
0.000 1.591 0.607
1.816 2.248 4.622
```

E ... -39.8 eV/cell
Fermi-level density of states ... 1.15 states/eV per atom


Entry 5:
Entry from Alexandria: a relaxed Ce3Si6Pd2Rh crystal (PBE).

The structure in POSCAR format:
```
Ce3Si6Pd2Rh
1.0
-4.241 -3.599 1.733
5.422 -0.705 2.011
-1.593 4.745 5.957
Ce Si Rh Pd
3 6 1 2
Cartesian
1.170 1.401 5.774
-1.582 -0.960 3.927
0.000 0.000 0.000
-1.195 -0.037 6.791
1.285 -1.350 4.500
-3.497 0.262 5.937
-1.697 1.791 5.201
0.783 0.478 2.910
3.085 0.179 3.764
-0.797 2.372 2.979
-2.549 1.919 7.542
2.137 -1.478 2.159
```

E ... -74.7 eV/cell
Uncorrected formation energy ... -0.551 eV per atom
Fermi-level density of states ... 1.25 states/eV per atom


Entry 6:
Entry from Alexandria: a relaxed NpCu6Au6 crystal (PBE).

The structure in POSCAR format:
```
NpCu6Au6
1.0
1.281 -4.236 2.706
-2.609 -5.739 -2.777
5.913 -2.781 -2.181
Np Au Cu
1 6 6
Cartesian
0.000 0.000 0.000
2.611 -7.051 -2.330
3.564 -9.831 -2.162
1.022 -2.925 -0.090
3.043 -3.777 -2.382
0.262 -4.743 -2.576
1.975 -5.705 0.078
2.957 -1.390 -1.090
-1.304 -2.870 -1.389
0.034 -7.162 -1.284
4.551 -5.594 -0.968
3.597 -3.508 0.263
-0.664 -4.987 -0.036
```

Formation enthalpy at 0 K ... -0.09 eV per atom
E ... -58.3 eV/cell
Fermi-level density of states ... 1.22 states/eV per atom


Entry 7:
Entry from Alexandria: a relaxed Pr5Sm2Ho5 crystal (PBE).

The structure in POSCAR format:
```
Pr5Sm2Ho5
1.0
4.994 0.000 1.067
2.204 7.554 1.905
0.291 0.622 10.857
Sm Pr Ho
2 5 5
Cartesian
1.779 4.584 3.895
5.710 3.592 9.935
6.148 6.585 7.886
1.341 1.591 5.944
4.375 2.058 3.967
3.115 6.119 9.863
0.000 0.000 0.000
3.312 1.109 8.941
2.398 2.523 0.996
3.745 4.088 6.915
4.178 7.067 4.889
5.091 5.653 12.834
```

Formation enthalpy at 0 K ... 0.02 eV per atom
E ... -56.0 eV/cell
Fermi-level density of states ... 1.47 states/eV per atom


Entry 8:
Entry from Alexandria: a relaxed K3Th2NpN6 crystal (PBE).

The structure in POSCAR format:
```
K3Th2NpN6
1.0
-0.670 2.526 -5.741
3.607 -5.113 0.798
-6.107 -2.928 0.573
Np N K Th
1 6 3 2
Cartesian
0.000 0.000 0.000
-2.128 -5.653 -2.472
-4.389 -3.088 -0.737
0.242 -2.154 0.065
-3.411 -3.361 -4.435
-1.041 0.139 -1.897
1.220 -2.426 -3.632
-0.135 -5.347 0.032
-3.034 -0.168 -4.401
-1.585 -2.757 -2.185
2.182 -2.568 -1.381
0.755 -0.019 -3.562
```

E ... -92.2 eV/cell
Uncorrected formation energy ... -0.934 eV per atom


Question: Among the records above, which one has the lowest E?
Answer: B5C7


Copy entry 7 word for word.
Entry from Alexandria: a relaxed Pr5Sm2Ho5 crystal (PBE).

The structure in POSCAR format:
```
Pr5Sm2Ho5
1.0
4.994 0.000 1.067
2.204 7.554 1.905
0.291 0.622 10.857
Sm Pr Ho
2 5 5
Cartesian
1.779 4.584 3.895
5.710 3.592 9.935
6.148 6.585 7.886
1.341 1.591 5.944
4.375 2.058 3.967
3.115 6.119 9.863
0.000 0.000 0.000
3.312 1.109 8.941
2.398 2.523 0.996
3.745 4.088 6.915
4.178 7.067 4.889
5.091 5.653 12.834
```

Formation enthalpy at 0 K ... 0.02 eV per atom
E ... -56.0 eV/cell
Fermi-level density of states ... 1.47 states/eV per atom